# ZnAu6

A geometry-optimized ZnAu6 structure (GGA-PBE, Alexandria via LeMat-Bulk).

**Excess energy over the best structure of this formula in the dataset**: 0.0207 eV/atom

Unit cell a=4.0436 b=4.0436 c=8.1456 alpha=90.00 beta=90.00 gamma=90.00
Last column: nearest neighbours and their distance in Å.
Element x y z (fractional)
Zn1 0.0000 0.0000 0.0000  12 Au 2.86-2.89
Au1 0.5000 0.5000 0.0000  4 Zn 2.86, 8 Au 2.89
Au2 0.0000 0.5000 0.2542  8 Au 2.85-2.89, 2 Zn 2.89
Au3 0.5000 0.0000 0.7458  8 Au 2.85-2.89, 2 Zn 2.89
Au4 0.0000 0.0000 0.5000  8 Au 2.85
Au5 0.0000 0.5000 0.7458  8 Au 2.85-2.89, 2 Zn 2.89
Au6 0.5000 0.0000 0.2542  8 Au 2.85-2.89, 2 Zn 2.89

***

# Zn2Au3

A geometry-optimized Zn2Au3 structure (GGA-PBE, Alexandria via LeMat-Bulk).

**Excess energy over the best structure of this formula in the dataset**: 0.0000 eV/atom

Unit cell a=5.4577 b=5.4577 c=7.1928 alpha=80.05 beta=80.05 gamma=122.99
Last column: nearest neighbours and their distance in Å.
Element x y z (fractional)
Zn1 0.3002 0.3613 0.5977  8 Au 2.72-2.95, 2 Zn 2.97
Zn2 0.1113 0.5502 0.0977  8 Au 2.72-2.95, 2 Zn 2.97
Au1 0.1805 0.7821 0.7060  5 Zn 2.72-2.90, 5 Au 2.79-3.01
Zn3 0.9590 0.8979 0.4023  8 Au 2.72-2.95, 2 Zn 2.97
Au2 0.4881 0.8865 0.2940  5 Zn 2.72-2.90, 5 Au 2.79-3.01
Au3 0.6365 0.7381 0.7940  5 Zn 2.72-2.90, 5 Au 2.79-3.01
Zn4 0.6479 0.2090 0.9023  8 Au 2.72-2.95, 2 Zn 2.97
Au4 0.0723 0.0723 0.0000  6 Zn 2.72-2.95, 6 Au 2.93-3.04
Au5 0.5321 0.4305 0.2060  5 Zn 2.72-2.90, 5 Au 2.79-3.01
Au6 0.8223 0.3223 0.5000  6 Zn 2.72-2.95, 6 Au 2.93-3.04

***

# Zn5Au

A geometry-optimized Zn5Au structure (GGA-PBE, Alexandria via LeMat-Bulk).

Unit cell a=4.8369 b=5.0033 c=10.2744 alpha=90.00 beta=90.00 gamma=128.86
Last column: nearest neighbours and their distance in Å.
Element x y z (fractional)
Zn1 0.8472 0.6592 0.5175  6 Zn 2.60-2.79, 1 Au 2.70
Zn2 0.8472 0.6592 0.9825  6 Zn 2.60-2.79, 1 Au 2.70
Zn3 0.5646 0.9183 0.6150  6 Zn 2.60-2.89, 2 Au 2.65-2.66
Zn4 0.1528 0.3408 0.4825  6 Zn 2.60-2.79, 1 Au 2.70
Zn5 0.7419 0.8156 0.2500  3 Au 2.69-2.77, 4 Zn 2.89-2.99
Au1 0.9686 0.5004 0.7500  9 Zn 2.65-2.77
Zn6 0.1528 0.3408 0.0175  6 Zn 2.60-2.79, 1 Au 2.70
Zn7 0.2581 0.1844 0.7500  3 Au 2.69-2.77, 4 Zn 2.89-2.99
Zn8 0.4354 0.0817 0.3850  6 Zn 2.60-2.89, 2 Au 2.65-2.66
Zn9 0.4354 0.0817 0.1150  6 Zn 2.60-2.89, 2 Au 2.65-2.66
Au2 0.0314 0.4996 0.2500  9 Zn 2.65-2.77
Zn10 0.5646 0.9183 0.8850  6 Zn 2.60-2.89, 2 Au 2.65-2.66

***

# ZnAu5

A geometry-optimized ZnAu5 structure (GGA-PBE, Alexandria via LeMat-Bulk).

Unit cell a=6.2506 b=6.2506 c=7.1876 alpha=115.77 beta=115.77 gamma=90.00
Last column: nearest neighbours and their distance in Å.
Element x y z (fractional)
Zn1 0.2500 0.2500 0.5000  10 Au 2.68-2.83
Au1 0.0207 0.5207 0.7252  2 Zn 2.68, 3 Au 2.79-2.82
Au2 0.2046 0.0207 0.7252  2 Zn 2.68, 3 Au 2.79-2.82
Zn2 0.7500 0.7500 0.5000  10 Au 2.68-2.83
Au3 0.2954 0.7954 0.2748  2 Zn 2.68, 3 Au 2.79-2.82
Au4 0.0000 0.0000 0.0000  8 Au 2.82, 2 Zn 2.83
Au5 0.7954 0.9793 0.2748  2 Zn 2.68, 3 Au 2.79-2.82
Au6 0.5000 0.5000 0.0000  8 Au 2.82, 2 Zn 2.83
Au7 0.9793 0.4793 0.2748  2 Zn 2.68, 3 Au 2.79-2.82
Au8 0.5207 0.7046 0.7252  2 Zn 2.68, 3 Au 2.79-2.82
Au9 0.4793 0.2954 0.2748  2 Zn 2.68, 3 Au 2.79-2.82
Au10 0.7046 0.2046 0.7252  2 Zn 2.68, 3 Au 2.79-2.82

***

# ZnAu

A geometry-optimized ZnAu structure (GGA-PBE, Alexandria via LeMat-Bulk).

Unit cell a=4.5463 b=4.5463 c=4.5463 alpha=60.00 beta=60.00 gamma=60.00
Last column: nearest neighbours and their distance in Å.
Element x y z (fractional)
Zn1 0.5000 0.5000 0.5000  4 Au 2.78, 4 Zn 2.78
Au1 0.7500 0.7500 0.7500  4 Au 2.78, 4 Zn 2.78
Au2 0.0000 0.0000 0.0000  4 Zn 2.78, 4 Au 2.78
Zn2 0.2500 0.2500 0.2500  4 Zn 2.78, 4 Au 2.78

***

# ZnAu

A geometry-optimized ZnAu structure (GGA-PBE, Alexandria via LeMat-Bulk).

Unit cell a=5.1021 b=5.1021 c=5.1021 alpha=135.41 beta=134.91 gamma=65.29
Last column: nearest neighbours and their distance in Å.
Element x y z (fractional)
Zn1 0.1248 0.3748 0.2500  8 Au 2.75-2.91, 4 Zn 2.89-2.91
Zn2 0.8752 0.6252 0.7500  8 Au 2.75-2.91, 4 Zn 2.89-2.91
Au1 0.6254 0.8754 0.2500  8 Zn 2.75-2.91, 4 Au 2.90
Au2 0.3746 0.1246 0.7500  8 Zn 2.75-2.91, 4 Au 2.90

***

# ZnAu

A geometry-optimized ZnAu structure (GGA-PBE, Alexandria via LeMat-Bulk).

Unit cell a=3.5104 b=3.5104 c=5.4740 alpha=90.00 beta=90.00 gamma=90.00
Last column: nearest neighbours and their distance in Å.
Element x y z (fractional)
Au1 0.0000 0.0000 0.9685  6 Zn 2.66-2.81
Au2 0.5000 0.5000 0.2815  6 Zn 2.66-2.81
Zn1 0.5000 0.5000 0.7675  6 Au 2.66-2.81, 4 Zn 2.93
Zn2 0.0000 0.0000 0.4825  6 Au 2.66-2.81, 4 Zn 2.93

***

# ZnAu

A geometry-optimized ZnAu structure (GGA-PBE, Alexandria via LeMat-Bulk).

Unit cell a=2.8854 b=2.8854 c=7.9188 alpha=90.00 beta=90.00 gamma=90.00
Last column: nearest neighbours and their distance in Å.
Element x y z (fractional)
Au1 0.2500 0.2500 0.1439  4 Zn 2.78, 8 Au 2.89-3.06
Zn1 0.7500 0.7500 0.3822  8 Zn 2.76-2.89, 4 Au 2.78
Zn2 0.2500 0.2500 0.6178  8 Zn 2.76-2.89, 4 Au 2.78
Au2 0.7500 0.7500 0.8561  4 Zn 2.78, 8 Au 2.89-3.06

***

# ZnAu5

A geometry-optimized ZnAu5 structure (GGA-PBE, Alexandria via LeMat-Bulk).

Unit cell a=5.0663 b=5.0663 c=4.7391 alpha=90.00 beta=90.00 gamma=120.00
Last column: nearest neighbours and their distance in Å.
Element x y z (fractional)
Au1 0.0000 0.3333 0.5000  9 Au 2.92-2.93, 3 Zn 2.93
Au2 0.0074 0.0000 0.0000  10 Au 2.86-2.96, 2 Zn 2.89
Au3 0.6667 0.6667 0.5000  9 Au 2.92-2.93, 3 Zn 2.93
Au4 0.3333 0.6740 0.0000  10 Au 2.86-2.96, 2 Zn 2.89
Au5 0.6593 0.3260 0.0000  10 Au 2.86-2.96, 2 Zn 2.89
Zn1 0.3333 0.0000 0.5000  12 Au 2.89-2.93

***

# Zn2Au3

A geometry-optimized Zn2Au3 structure (GGA-PBE, Alexandria via LeMat-Bulk).

**Excess energy over the best structure of this formula in the dataset**: 0.1226 eV/atom

Unit cell a=7.5945 b=7.5945 c=5.5739 alpha=47.06 beta=47.06 gamma=60.00
Last column: nearest neighbours and their distance in Å.
Element x y z (fractional)
Zn1 0.1225 0.1225 0.6326  2 Zn 2.53-2.63, 6 Au 2.65-2.71
Au1 0.4387 0.0613 0.7500  4 Zn 2.65-2.71, 2 Au 2.94
Au2 0.2500 0.5613 0.2500  4 Zn 2.65-2.71, 2 Au 2.94
Au3 0.0613 0.7500 0.7500  4 Zn 2.65-2.71, 2 Au 2.94
Au4 0.5613 0.9387 0.2500  4 Zn 2.65-2.71, 2 Au 2.94
Zn2 0.8775 0.8775 0.3674  2 Zn 2.53-2.63, 6 Au 2.65-2.71
Au5 0.7500 0.4387 0.7500  4 Zn 2.65-2.71, 2 Au 2.94
Zn3 0.3775 0.3775 0.8674  2 Zn 2.53-2.63, 6 Au 2.65-2.71
Au6 0.9387 0.2500 0.2500  4 Zn 2.65-2.71, 2 Au 2.94
Zn4 0.6225 0.6225 0.1326  2 Zn 2.53-2.63, 6 Au 2.65-2.71

***

| no. | formation enthalpy at 0 K (eV/atom) | N(E_F) (states/eV/atom) |
| --- | --- | --- |
| 1 | -0.013 | 0.136 |
| 2 | -0.191 | 0.136 |
| 3 | -0.066 | 0.133 |
| 4 | -0.005 | 0.188 |
| 5 | -0.091 | 0.372 |
| 6 | -0.207 | 0.189 |
| 7 | -0.168 | 0.429 |
| 8 | -0.095 | 0.363 |
| 9 | -0.063 | 0.451 |
| 10 | -0.069 | 0.294 |